Record 1
The following is a DFT calculation (PBE) of a relaxed BiRhW2 crystal.

Computed properties:
Formation energy from the elements in meV per atom: 882
Total magnetic moment in Bohr magnetons per cell: 0.0

Structure (POSCAR):
```
BiRhW2
1.0
-1.9295 1.9295 10.2150
1.9295 -1.9295 10.2150
1.9295 1.9295 -10.2150
Bi Rh W
2 2 4
Direct
0.0000 0.0000 0.0000
0.7500 0.2500 0.5000
0.2500 0.7500 0.5000
0.5000 0.5000 0.0000
0.1423 0.6250 0.0173
0.3750 0.3923 0.5173
0.6077 0.1250 0.9827
0.8750 0.8577 0.4827
```

---

Record 2
The following is a DFT calculation (PBE) of a relaxed P2OsW crystal.

Computed properties:
Formation energy from the elements in meV per atom: -165
Total magnetic moment in Bohr magnetons per cell: 0.0
Energy above the most stable polymorph in this dataset in meV/atom: 0

Structure (POSCAR):
```
P2OsW
1.0
3.0055 0.0000 0.0000
0.0000 4.3508 0.0000
0.0000 0.0000 4.2335
P Os W
2 1 1
Direct
0.0000 0.0000 0.0000
0.5000 0.5000 0.2244
0.5000 0.0000 0.4770
0.0000 0.5000 0.7355
```

---

Record 3
The following is a DFT calculation (PBE) of a relaxed TbPr4Bi5 crystal.

Computed properties:
Formation energy from the elements in meV per atom: -941
Total magnetic moment in Bohr magnetons per cell: 0.0

Structure (POSCAR):
```
TbPr4Bi5
1.0
-2.3080 3.2613 11.5209
2.3080 -3.2613 11.5209
2.3080 3.2613 -11.5209
Tb Pr Bi
1 4 5
Direct
0.0000 0.0000 0.0000
0.1984 0.1984 0.0000
0.4002 0.4002 0.0000
0.5998 0.5998 0.0000
0.8016 0.8016 0.0000
0.0965 0.5965 0.5000
0.2994 0.7994 0.5000
0.5000 0.0000 0.5000
0.7006 0.2006 0.5000
0.9035 0.4035 0.5000
```

---

Record 4
The following is a DFT calculation (PBE) of a relaxed CsLi2UBr6 crystal.

Computed properties:
Formation energy from raw total energies in kJ/mol of formula units: -1415
Total magnetic moment in Bohr magnetons per cell: 6.0

Structure (POSCAR):
```
CsLi2UBr6
1.0
7.1787 -6.9410 0.0000
7.1787 6.9410 0.0000
-3.3026 0.0000 8.1064
Cs Li U Br
2 4 2 12
Direct
0.0919 0.9081 0.7500
0.9081 0.0919 0.2500
0.2364 0.3727 0.8852
0.3727 0.2364 0.3852
0.6273 0.7636 0.6148
0.7636 0.6273 0.1148
0.2885 0.7115 0.2500
0.7115 0.2885 0.7500
0.0028 0.7454 0.2892
0.2276 0.6235 0.8965
0.2546 0.9972 0.2108
0.2679 0.4058 0.2005
0.3765 0.7724 0.6035
0.4058 0.2679 0.7005
0.5942 0.7321 0.2995
0.6235 0.2276 0.3965
0.7321 0.5942 0.7995
0.7454 0.0028 0.7892
0.7724 0.3765 0.1035
0.9972 0.2546 0.7108
```

---

Record 5
The following is a DFT calculation (PBE) of a relaxed CaAcSm2Hg4 crystal.

Computed properties:
Formation energy from the elements in meV per atom: -489
Total magnetic moment in Bohr magnetons per cell: 0.0

Structure (POSCAR):
```
CaAcSm2Hg4
1.0
2.6978 1.5576 9.1495
-2.6978 1.5576 9.1495
0.0000 -3.1152 9.1495
Ca Ac Sm Hg
1 1 2 4
Direct
0.0000 0.0000 0.0000
0.5000 0.5000 0.5000
0.2553 0.2553 0.2553
0.7447 0.7447 0.7447
0.1183 0.1183 0.1183
0.3730 0.3730 0.3730
0.6270 0.6270 0.6270
0.8817 0.8817 0.8817
```

---

Record 6
The following is a DFT calculation (PBE) of a relaxed HfGeBr2 crystal.

Computed properties:
Formation energy from raw total energies in kJ/mol of formula units: -152
Total magnetic moment in Bohr magnetons per cell: 0.0
Energy above the most stable polymorph in this dataset in meV/atom: 0

Structure (POSCAR):
```
HfGeBr2
1.0
1.6559 0.9561 11.5731
-1.6559 0.9561 11.5731
0.0000 -1.9121 11.5731
Hf Ge Br
1 1 2
Direct
0.0000 0.0000 0.0000
0.5000 0.5000 0.5000
0.3898 0.3898 0.3898
0.6102 0.6102 0.6102
```

---

Record 7
The following is a DFT calculation (PBE) of a relaxed La3CeY2Se6 crystal.

Computed properties:
Formation energy from raw total energies in kJ/mol of formula units: -2195
Total magnetic moment in Bohr magnetons per cell: 0.9

Structure (POSCAR):
```
La3CeY2Se6
1.0
3.6420 -6.3224 0.0000
3.6420 6.3224 0.0000
-2.4454 0.0000 6.9272
La Ce Y Se
3 1 2 6
Direct
0.0000 0.0000 0.0000
0.3354 0.6646 0.0000
0.6646 0.3354 0.0000
0.5000 0.5000 0.5000
0.1670 0.8330 0.5000
0.8330 0.1670 0.5000
0.0821 0.4213 0.2638
0.2385 0.2385 0.7340
0.4213 0.0821 0.2638
0.5787 0.9179 0.7362
0.7615 0.7615 0.2660
0.9179 0.5787 0.7362
```

---

Record 8
The following is a DFT calculation (PBE) of a relaxed TlBSb2 crystal.

Computed properties:
Formation energy from raw total energies in kJ/mol of formula units: 148
Total magnetic moment in Bohr magnetons per cell: 0.0
Energy above the most stable polymorph in this dataset in meV/atom: 0

Structure (POSCAR):
```
TlBSb2
1.0
-3.0721 3.0721 5.6594
3.0721 -3.0721 5.6594
3.0721 3.0721 -5.6594
Tl B Sb
2 2 4
Direct
0.0000 0.0000 0.0000
0.7500 0.2500 0.5000
0.2500 0.7500 0.5000
0.5000 0.5000 0.0000
0.2053 0.6250 0.0803
0.3750 0.4553 0.5803
0.5447 0.1250 0.9197
0.8750 0.7947 0.4197
```